Density functional theory data (PBE) for a geometry-optimized NdAs2O structure. Values from VASP.

Quantum ESPRESSO input file:
```
&SYSTEM
  ibrav = 0, nat = 8, ntyp = 3
/
ATOMIC_SPECIES
Nd 144.24 Nd.upf
As 74.92 As.upf
O 16.00 O.upf
ATOMIC_POSITIONS angstrom
Nd 1.1740 3.5220 0.0000
Nd 3.5220 1.1740 0.0000
As 1.1740 1.1740 1.6515
As 1.1740 1.1740 4.1140
As 3.5220 3.5220 3.3764
As 3.5220 3.5220 5.8389
O 1.1740 3.5220 3.7452
O 3.5220 1.1740 3.7452
CELL_PARAMETERS angstrom
4.6961 0.0000 0.0000
0.0000 4.6961 0.0000
0.0000 0.0000 7.4904
```

Values from the calculation:
Spin magnetization (μB/atom): 0.00
SG: No. 129



Density functional theory data (PBE) for a geometry-optimized NdAsPO structure. Values from VASP.

Quantum ESPRESSO input file:
```
&SYSTEM
  ibrav = 0, nat = 8, ntyp = 4
/
ATOMIC_SPECIES
Nd 144.24 Nd.upf
As 74.92 As.upf
P 30.97 P.upf
O 16.00 O.upf
ATOMIC_POSITIONS angstrom
Nd 0.0000 1.2754 0.0000
Nd 0.0000 5.6289 3.0525
As 2.6217 2.1915 3.5259
As 2.6217 4.7128 0.4734
P 2.6217 2.5859 5.7970
P 2.6217 4.3183 2.7445
O 0.0000 0.5665 1.9995
O 0.0000 6.3378 5.0520
CELL_PARAMETERS angstrom
5.2435 0.0000 0.0000
0.0000 6.9043 0.0000
0.0000 0.0000 6.1050
```

Values from the calculation:
Spin magnetization (μB/atom): 0.00
SG: No. 26



Density functional theory data (PBE) for a geometry-optimized NdAsPO structure. Values from VASP.

Quantum ESPRESSO input file:
```
&SYSTEM
  ibrav = 0, nat = 8, ntyp = 4
/
ATOMIC_SPECIES
Nd 144.24 Nd.upf
As 74.92 As.upf
P 30.97 P.upf
O 16.00 O.upf
ATOMIC_POSITIONS angstrom
Nd 1.1492 1.1492 0.8418
Nd 3.4477 3.4477 5.9477
As 1.1492 3.4477 3.3947
As 3.4477 1.1492 3.3947
P 1.1492 1.1492 4.2614
P 3.4477 3.4477 2.5280
O 1.1492 3.4477 0.0000
O 3.4477 1.1492 0.0000
CELL_PARAMETERS angstrom
4.5969 0.0000 0.0000
0.0000 4.5969 0.0000
0.0000 0.0000 6.7895
```

Values from the calculation:
Spin magnetization (μB/atom): 0.00
SG: No. 129



Density functional theory data (PBE) for a geometry-optimized NdAsPO structure. Values from VASP.

Quantum ESPRESSO input file:
```
&SYSTEM
  ibrav = 0, nat = 8, ntyp = 4
/
ATOMIC_SPECIES
Nd 144.24 Nd.upf
As 74.92 As.upf
P 30.97 P.upf
O 16.00 O.upf
ATOMIC_POSITIONS angstrom
Nd 1.4094 4.2283 0.0000
Nd 4.2283 1.4094 0.0000
As 1.4094 1.4094 2.3824
As 4.2283 4.2283 2.3985
P 1.4094 1.4094 4.7807
P 4.2283 4.2283 0.0002
O 1.4094 4.2283 2.3904
O 4.2283 1.4094 2.3904
CELL_PARAMETERS angstrom
5.6378 0.0000 0.0000
0.0000 5.6378 0.0000
0.0000 0.0000 4.7809
```

Values from the calculation:
Spin magnetization (μB/atom): 0.00
SG: No. 129



Density functional theory data (PBE) for a geometry-optimized NdAsPO structure. Values from VASP.

Quantum ESPRESSO input file:
```
&SYSTEM
  ibrav = 0, nat = 8, ntyp = 4
/
ATOMIC_SPECIES
Nd 144.24 Nd.upf
As 74.92 As.upf
P 30.97 P.upf
O 16.00 O.upf
ATOMIC_POSITIONS angstrom
Nd 0.0000 1.5218 0.0000
Nd 0.0000 4.6302 3.1394
As 2.1597 2.1984 3.7497
As 2.1597 3.9536 0.6103
P 0.0000 1.4440 2.9390
P 0.0000 4.7080 6.0784
O 2.1597 1.2803 5.3760
O 2.1597 4.8717 2.2366
CELL_PARAMETERS angstrom
4.3194 0.0000 0.0000
0.0000 6.1520 0.0000
0.0000 0.0000 6.2788
```

Values from the calculation:
Spin magnetization (μB/atom): 0.00
SG: No. 26



Density functional theory data (PBE) for a geometry-optimized NdAsPbO structure. Values from VASP.

Quantum ESPRESSO input file:
```
&SYSTEM
  ibrav = 0, nat = 8, ntyp = 4
/
ATOMIC_SPECIES
Nd 144.24 Nd.upf
As 74.92 As.upf
Pb 207.20 Pb.upf
O 16.00 O.upf
ATOMIC_POSITIONS angstrom
Nd 0.0000 1.0518 0.0000
Nd 0.0000 5.2824 3.2628
As 2.6085 1.7892 5.3678
As 2.6085 4.5451 2.1050
Pb 2.6085 1.6066 2.5381
Pb 2.6085 4.7276 5.8009
O 0.0000 0.9066 2.2409
O 0.0000 5.4277 5.5037
CELL_PARAMETERS angstrom
5.2170 0.0000 0.0000
0.0000 6.3343 0.0000
0.0000 0.0000 6.5255
```

Values from the calculation:
Spin magnetization (μB/atom): 0.00
SG: No. 26



Number 1: raw total energy -5.089 eV/atom, ρ 6234 kg/m³. Number 2: raw total energy -6.167 eV/atom, ρ 3999 kg/m³. Number 3: raw total energy -6.355 eV/atom, ρ 6160 kg/m³. Number 4: raw total energy -5.790 eV/atom, ρ 5816 kg/m³. Number 5: raw total energy -6.166 eV/atom, ρ 5297 kg/m³. Number 6: raw total energy -5.821 eV/atom, ρ 6813 kg/m³.